Here is crystalline CaLa2Se at its relaxed geometry from Alexandria. Energies are from GGA-PBE.

The calculation puts the magnetic moment at 0.000 μB per cell. The calculation puts the theoretical density at 4.95 g/cm³. The uncorrected energy comes out at -4.5823 eV/atom.

Cell lengths 4.5982, 5.8303, 9.9319 Å; angles 90.00, 90.00, 90.00 degrees
Space group Cmm2 (No. 35)
Inequivalent atoms, fractional coordinates:
Ca: 0.0000 0.0000 0.0000 (multiplicity 2)
La: 0.0000 0.0000 0.3856 (multiplicity 2)
La: 0.0000 0.5000 0.6759 (multiplicity 2)
Se: 0.0000 0.5000 0.1801 (multiplicity 2)